(1)
The following is a DFT calculation (PBE) of Hf2GeSb after structural relaxation.

Calculated values
Energy above the most stable polymorph in this dataset, eV per formula unit: 1.19
V, Å³/atom: 20.64
Formation energy from raw total energies, eV/atom: -0.232
Symmetry: No. 225
Spin magnetization, Bohr magnetons per cell: 0.000

```
data_Hf2GeSb
_chemical_formula_sum 'Hf2 Ge1 Sb1'
_cell_length_a 4.887
_cell_length_b 4.887
_cell_length_c 4.887
_cell_angle_alpha 60.00
_cell_angle_beta 60.00
_cell_angle_gamma 60.00
_space_group_name_H-M_alt 'P 1'
_space_group_IT_number 1
_space_group_name_Hall 'P 1'
loop_
_atom_site_label
_atom_site_type_symbol
_atom_site_fract_x
_atom_site_fract_y
_atom_site_fract_z
_atom_site_occupancy
Hf1 Hf 0.250 0.250 0.250 1
Hf2 Hf 0.750 0.750 0.750 1
Ge1 Ge 0.000 0.000 0.000 1
Sb1 Sb 0.500 0.500 0.500 1
```

(2)
The following is a DFT calculation (PBE) of RbPm2I7 after structural relaxation.

Calculated values
V, Å³/atom: 49.09
Formation energy from raw total energies, eV/atom: -1.378
Symmetry: No. 65
Spin magnetization, Bohr magnetons per cell: 0.000

```
data_RbPm2I7
_chemical_formula_sum 'Rb1 Pm2 I7'
_cell_length_a 9.409
_cell_length_b 9.409
_cell_length_c 6.179
_cell_angle_alpha 90.00
_cell_angle_beta 90.00
_cell_angle_gamma 116.17
_space_group_name_H-M_alt 'P 1'
_space_group_IT_number 1
_space_group_name_Hall 'P 1'
loop_
_atom_site_label
_atom_site_type_symbol
_atom_site_fract_x
_atom_site_fract_y
_atom_site_fract_z
_atom_site_occupancy
Rb1 Rb 0.000 0.000 0.000 1
Pm1 Pm 0.302 0.698 0.500 1
Pm2 Pm 0.698 0.302 0.500 1
I1 I 0.049 0.326 0.500 1
I2 I 0.295 0.705 0.000 1
I3 I 0.326 0.049 0.500 1
I4 I 0.500 0.500 0.500 1
I5 I 0.674 0.951 0.500 1
I6 I 0.705 0.295 0.000 1
I7 I 0.951 0.674 0.500 1
```